Computed, not measured: a geometry-optimized CoNi2Rh structure at the GGA-PBEsol level of DFT.

Unit cell a=3.573 b=3.573 c=4.354 alpha=114.22 beta=114.22 gamma=90.00
Sites, in units of the cell vectors:
Ni  0.000  0.000  0.000
Ni  0.750  0.250  0.500
Rh  0.500  0.500  0.000
Co  0.250  0.750  0.500

Results
* SG: I-4m2 (119)
* ρ: 10.2 g cm⁻³
* E above lowest polymorph: 0.000 eV per atom
* formation energy from the elements: 0.037 eV/atom